## DyYGa2Cu4 (PBE-GGA)

Data for a relaxed DyYGa2Cu4 crystal.

```
DyYGa2Cu4
1.0
4.263 0.000 0.000
-2.131 3.692 0.000
0.000 0.000 8.740
Y Cu Ga Dy
1 4 2 1
direct
0.667 0.333 0.500
0.667 0.333 0.171
0.667 0.333 0.829
0.000 0.000 0.325
0.000 0.000 0.675
0.333 0.667 0.749
0.333 0.667 0.251
0.000 0.000 0.000
```


GdDy2Cu4Sn2Ge2 PBE-GGA relaxed; excess energy over the best structure of this formula in the dataset = 0 meV/atom
1.0
-2.174 3.363 7.257
2.174 -3.363 7.257
2.174 3.363 -7.257
Ge Dy Cu Sn Gd
2 2 4 2 1
direct
0.310 0.500 0.810
0.690 0.500 0.190
0.375 0.875 0.500
0.625 0.125 0.500
0.651 0.341 0.310
0.031 0.341 0.690
0.969 0.659 0.310
0.349 0.659 0.690
0.218 0.218 0.000
0.782 0.782 0.000
0.000 0.000 0.000


Computed total DFT energy (no corrections), in the same sequence as the records: -4.369 -4.777 eV/atom.